Entry 1:
This record from Alexandria describes an optimized crystal structure of CuTcSN2. The functional is PBE.

Lattice parameters (Å, degrees): 3.7232 3.7232 4.7801 90.00 90.00 90.00
Closest atoms and distances in Å follow each position.
Element x y z (fractional)
1 S 0.0000 0.0000 0.5000  2 Cu 2.39, 4 Tc 2.63
2 Tc 0.5000 0.5000 0.5000  4 S 2.63
3 Cu 0.0000 0.0000 0.0000  4 N 1.86
4 N 0.0000 0.5000 0.0000  2 Cu 1.86
5 N 0.5000 0.0000 0.0000  2 Cu 1.86

Calculated values
DOS(E_F): 2.58 states/eV/f.u.
DFT total energy: -5.3845 eV/atom
uncorrected formation energy: 8.3 eV per formula unit
distance to the lowest polymorph of the same formula: 5.09 eV per formula unit
space group: P4/mmm

=====

Entry 2:
This record from Alexandria describes an optimized crystal structure of CuTeS2N. The functional is PBE.

Lattice parameters (Å, degrees): 4.7791 4.7791 3.6962 90.00 90.00 90.00
Closest atoms and distances in Å follow each position.
Element x y z (fractional)
1 S 0.0000 0.5000 0.0000  2 Cu 2.39
2 S 0.5000 0.0000 0.0000  2 Cu 2.39
3 Te 0.5000 0.5000 0.5000  8 S 3.02, 4 N 3.38
4 Cu 0.0000 0.0000 0.0000  2 N 1.85
5 N 0.0000 0.0000 0.5000  2 Cu 1.85

Calculated values
DOS(E_F): 3.39 states/eV/f.u.
DFT total energy: -3.8722 eV/atom
uncorrected formation energy: 4.5 eV per formula unit
distance to the lowest polymorph of the same formula: 0.00 eV per formula unit
space group: P4/mmm

=====

> DOS(E_F) of number 1 (CuTcSN2)?

2.58 states/eV/f.u.

=====

> Among the records above, which one has the lowest distance to the lowest polymorph of the same formula?

CuTeS2N